Entry from Alexandria: a relaxed structure of RbCrO3 (GGA+U).

Output
- Crystal system: cubic
- Density of states at the Fermi level: 3.6 states/eV/f.u.
- Raw total energy: -5.820 eV per atom

Geometry as CIF:
```
data_RbCrO3
_space_group_name_H-M_alt 'P 1'
_space_group_IT_number 1
_cell_length_a 3.880
_cell_length_b 3.880
_cell_length_c 3.880
_cell_angle_alpha 90.00
_cell_angle_beta 90.00
_cell_angle_gamma 90.00
loop_
_space_group_symop_operation_xyz
'x,y,z'
loop_
_atom_site_label
_atom_site_type_symbol
_atom_site_fract_x
_atom_site_fract_y
_atom_site_fract_z
Rb1 Rb 0.000 0.000 0.000
Cr1 Cr 0.500 0.500 0.500
O1 O 0.000 0.500 0.500
O2 O 0.500 0.000 0.500
O3 O 0.500 0.500 0.000
```